1.
## AcP3Rh3 (PBE-GGA)

Data for a relaxed AcP3Rh3 crystal.

extended XYZ file:
```
14
Lattice="6.484 0.000 0.000 0.000 6.484 0.000 0.000 0.000 6.484" Properties=species:S:1:pos:R:3 pbc="T T T"
P 0.000 1.621 3.242
P 0.000 4.863 3.242
P 3.242 0.000 4.863
P 4.863 3.242 0.000
P 3.242 0.000 1.621
P 1.621 3.242 0.000
Ac 3.242 3.242 3.242
Ac 0.000 0.000 0.000
Rh 1.621 0.000 3.242
Rh 0.000 3.242 1.621
Rh 3.242 4.863 0.000
Rh 4.863 0.000 3.242
Rh 0.000 3.242 4.863
Rh 3.242 1.621 0.000
```

For the density of states at the Fermi level, the calculation gives 0.8318 states/eV per atom. The value obtained for the volume is 19.47 Å³/atom. The total DFT energy (no corrections) is -6.861 eV/atom. The value obtained for the size of the total moment is 0.00 μB/f.u. As for the formation enthalpy at 0 K: -805 meV per atom.

---

2.
## SrLi2Ag8 (PBE-GGA)

Data for a relaxed SrLi2Ag8 crystal.

extended XYZ file:
```
11
Lattice="-4.806 -1.733 -1.971 1.236 -5.123 1.490 -3.934 1.466 8.303" Properties=species:S:1:pos:R:3 pbc="T T T"
Sr -3.752 -2.695 3.911
Li -2.403 -0.866 -0.986
Li 0.618 -2.561 0.745
Ag -3.533 -4.835 1.433
Ag -6.388 -1.426 5.398
Ag -5.767 -4.003 6.147
Ag -4.154 -2.259 0.683
Ag -1.116 -3.963 2.424
Ag -3.350 -3.131 7.139
Ag -1.737 -1.387 1.675
Ag -3.971 -0.555 6.389
```

For the density of states at the Fermi level, the calculation gives 0.3402 states/eV per atom. The value obtained for the volume is 25.36 Å³/atom. The total DFT energy (no corrections) is -2.471 eV/atom. The value obtained for the size of the total moment is 0.00 μB/f.u. As for the formation enthalpy at 0 K: 103 meV per atom.

---

3.
## VPdSe2N (PBE-GGA)

Data for a relaxed VPdSe2N crystal.

extended XYZ file:
```
5
Lattice="-0.567 3.203 -3.717 0.501 -3.684 -3.252 -3.535 -0.543 0.071" Properties=species:S:1:pos:R:3 pbc="T T T"
N -1.767 -0.272 0.036
Se 0.250 -1.842 -1.626
Se -0.284 1.602 -1.858
Pd -1.801 -0.512 -3.449
V 0.000 0.000 0.000
```

For the density of states at the Fermi level, the calculation gives 0.5752 states/eV per atom. The value obtained for the volume is 17.45 Å³/atom. The energy relative to the lowest polymorph listed for this composition comes out at 0.00 eV per formula unit. The total DFT energy (no corrections) is -5.765 eV/atom. The value obtained for the size of the total moment is 0.00 μB/f.u.

---

4.
## LaHg4Rh (PBE-GGA)

Data for a relaxed LaHg4Rh crystal.

extended XYZ file:
```
6
Lattice="3.711 -3.652 2.576 -1.794 -5.267 1.667 1.853 -4.727 -2.822" Properties=species:S:1:pos:R:3 pbc="T T T"
La 2.827 -10.235 1.066
Hg 3.279 -6.944 1.829
Hg 2.343 -7.486 -0.889
Hg 0.506 -7.758 1.371
Hg 1.410 -5.105 0.532
Rh 0.000 0.000 0.000
```

For the density of states at the Fermi level, the calculation gives 0.1690 states/eV per atom. The value obtained for the volume is 23.10 Å³/atom. The total DFT energy (no corrections) is -2.316 eV/atom. The value obtained for the size of the total moment is 0.00 μB/f.u. As for the formation enthalpy at 0 K: -69 meV per atom.

---

Q: The lowest total DFT energy (no corrections) belongs to which entry?
A: AcP3Rh3

---

Q: The lowest total DFT energy (no corrections) belongs to which entry?
A: AcP3Rh3